SmHoAg6: relaxed, PBE.

Output
Its calculated formation energy is -0.201 eV per atom. The value obtained for the total energy is -3.501 eV per atom.

a = 5.183 Å, b = 5.183 Å, c = 9.064 Å
α = 115.73°, β = 115.73°, γ = 52.13°
Fractional positions:
Sm: 0.000 0.000 0.000
Ho: 0.000 0.000 0.500
Ag: 0.249 0.249 0.869
Ag: 0.252 0.252 0.380
Ag: 0.497 0.497 0.252
Ag: 0.503 0.503 0.748
Ag: 0.748 0.748 0.620
Ag: 0.751 0.751 0.131